No. 1
## NaTb4HoS8 (GGA-PBE)

Data for NaTb4HoS8 after structural relaxation.

Results
N(E_F)   0.00 states/eV/atom
Total energy   -0.4455 Ry/atom
Formation energy (no corrections)   -1959.0 meV per atom

a = 8.1319 Å, b = 8.1319 Å, c = 19.8350 Å
α = 90.00°, β = 90.00°, γ = 120.00°
With the nearest neighbours (Å) after each atom.
Space group R3m (No. 160, hexagonal axes)
One atom of each set of equivalent atoms:
Na 0.0000 0.0000 0.0000 (multiplicity 3)  4 S 2.70-2.71
Tb 0.0000 0.0000 0.2493 (multiplicity 3)  4 S 2.64-2.65
Tb 0.1725 0.3451 0.4564 (multiplicity 9)  6 S 2.70-2.84
Ho 0.0000 0.0000 0.6291 (multiplicity 3)  6 S 2.68-2.82
S 0.0000 0.0000 0.3825 (multiplicity 3)  4 Tb 2.64-2.84
S 0.0000 0.0000 0.8637 (multiplicity 3)  3 Tb 2.70, 1 Na 2.70
S 0.0306 0.5153 0.3775 (multiplicity 9)  1 Ho 2.68, 2 Tb 2.70, 1 Na 2.71
S 0.1781 0.3563 0.2058 (multiplicity 9)  3 Tb 2.65-2.84, 1 Ho 2.82


No. 2
## Na3TbHo2S6 (GGA-PBE)

Data for Na3TbHo2S6 after structural relaxation.

Results
N(E_F)   0.00 states/eV/atom
Total energy   -0.3963 Ry/atom
Formation energy (no corrections)   -1850.2 meV per atom

a = 6.8924 Å, b = 11.9380 Å, c = 7.0647 Å
α = 90.00°, β = 108.97°, γ = 90.00°
With the nearest neighbours (Å) after each atom.
Space group C2/m (No. 12)
One atom of each set of equivalent atoms:
Na 0.0000 0.0000 0.0000 (multiplicity 2)  6 S 2.92-2.94
Na 0.0000 0.3334 0.0000 (multiplicity 4)  6 S 2.92-2.94
Tb 0.0000 0.5000 0.5000 (multiplicity 2)  6 S 2.76
Ho 0.0000 0.1667 0.5000 (multiplicity 4)  6 S 2.74-2.75
S 0.2399 0.0000 0.7265 (multiplicity 4)  2 Ho 2.75, 1 Tb 2.76, 3 Na 2.92-2.94
S 0.2432 0.3322 0.7263 (multiplicity 8)  2 Ho 2.74, 1 Tb 2.76, 3 Na 2.92-2.94


No. 3
## Na4TbHo3S8 (GGA-PBE)

Data for Na4TbHo3S8 after structural relaxation.

Results
N(E_F)   0.00 states/eV/atom
Total energy   -0.3963 Ry/atom
Formation energy (no corrections)   -1850.7 meV per atom

a = 7.9520 Å, b = 7.9520 Å, c = 20.0366 Å
α = 90.00°, β = 90.00°, γ = 120.00°
With the nearest neighbours (Å) after each atom.
Space group R-3m (No. 166, hexagonal axes)
One atom of each set of equivalent atoms:
Na 0.0000 0.0000 0.0000 (multiplicity 3)  6 S 2.92
Na 0.0000 0.5000 0.0000 (multiplicity 9)  6 S 2.94
Tb 0.0000 0.0000 0.5000 (multiplicity 3)  6 S 2.76
Ho 0.0000 0.5000 0.5000 (multiplicity 9)  6 S 2.74-2.75
S 0.0000 0.0000 0.2418 (multiplicity 6)  3 Ho 2.75, 3 Na 2.94
S 0.0019 0.5010 0.7579 (multiplicity 18)  2 Ho 2.74, 1 Tb 2.76, 3 Na 2.92-2.94


No. 4
## NaTb2HoS4 (GGA-PBE)

Data for NaTb2HoS4 after structural relaxation.

Results
N(E_F)   0.32 states/eV/atom
Total energy   -0.4320 Ry/atom
Formation energy (no corrections)   -1918.9 meV per atom

a = 6.8234 Å, b = 3.9144 Å, c = 6.8258 Å
α = 90.00°, β = 109.12°, γ = 90.00°
With the nearest neighbours (Å) after each atom.
Space group P2/m (No. 10)
One atom of each set of equivalent atoms:
Na 0.0000 0.0000 0.0000 (multiplicity 1)  6 S 2.78-2.81
Tb 0.5000 0.0000 0.5000 (multiplicity 1)  6 S 2.76-2.78
Tb 0.5000 0.5000 0.0000 (multiplicity 1)  6 S 2.79-2.80
Ho 0.0000 0.5000 0.5000 (multiplicity 1)  6 S 2.77
S 0.2474 0.0000 0.7474 (multiplicity 2)  2 Ho 2.77, 3 Tb 2.78-2.80, 1 Na 2.78
S 0.2528 0.5000 0.2554 (multiplicity 2)  3 Tb 2.76-2.79, 1 Ho 2.77, 2 Na 2.81


No. 5
## NaTb4Ho3S8 (GGA-PBE)

Data for NaTb4Ho3S8 after structural relaxation.

Results
N(E_F)   0.50 states/eV/atom
Total energy   -0.4493 Ry/atom
Formation energy (no corrections)   -1950.9 meV per atom

a = 7.8297 Å, b = 7.8297 Å, c = 19.1974 Å
α = 90.00°, β = 90.00°, γ = 120.00°
With the nearest neighbours (Å) after each atom.
Space group R-3m (No. 166, hexagonal axes)
One atom of each set of equivalent atoms:
Na 0.0000 0.0000 0.0000 (multiplicity 3)  6 S 2.76
Tb 0.0000 0.0000 0.5000 (multiplicity 3)  6 S 2.78
Tb 0.0000 0.5000 0.5000 (multiplicity 9)  6 S 2.78
Ho 0.0000 0.5000 0.0000 (multiplicity 9)  6 S 2.75
S 0.0000 0.0000 0.2513 (multiplicity 6)  3 Ho 2.75, 3 Tb 2.78
S 0.0011 0.5005 0.2511 (multiplicity 18)  2 Ho 2.75, 1 Na 2.76, 3 Tb 2.78


No. 6
## Na3Ho2TeS6 (GGA-PBE)

Data for Na3Ho2TeS6 after structural relaxation.

Results
N(E_F)   0.41 states/eV/atom
Total energy   -0.3451 Ry/atom
Formation energy (no corrections)   -1276.9 meV per atom

a = 6.8722 Å, b = 12.2353 Å, c = 7.0234 Å
α = 90.00°, β = 108.60°, γ = 90.00°
With the nearest neighbours (Å) after each atom.
Space group C2/m (No. 12)
One atom of each set of equivalent atoms:
Na 0.0000 0.0000 0.0000 (multiplicity 2)  6 S 2.97-2.99
Na 0.0000 0.3395 0.0000 (multiplicity 4)  6 S 2.91-2.95
Ho 0.0000 0.1698 0.5000 (multiplicity 4)  6 S 2.72-2.79
Te 0.0000 0.5000 0.5000 (multiplicity 2)  6 S 2.68-2.90
S 0.2417 0.0000 0.7170 (multiplicity 4)  1 Te 2.68, 2 Ho 2.79, 3 Na 2.95-2.97
S 0.2490 0.1746 0.2665 (multiplicity 8)  2 Ho 2.72-2.74, 1 Te 2.90, 3 Na 2.91-2.99


No. 7
## NaHoTe2S6 (GGA-PBE)

Data for NaHoTe2S6 after structural relaxation.

Results
N(E_F)   0.00 states/eV/atom
Total energy   -0.3182 Ry/atom
Formation energy (no corrections)   -634.7 meV per atom

a = 6.7723 Å, b = 6.7723 Å, c = 20.4278 Å
α = 90.00°, β = 90.00°, γ = 120.00°
With the nearest neighbours (Å) after each atom.
Space group R3 (No. 146, hexagonal axes)
One atom of each set of equivalent atoms:
Na 0.0000 0.0000 0.0000 (multiplicity 3)  6 S 2.95-3.05
Ho 0.0000 0.0000 0.4911 (multiplicity 3)  6 S 2.73-2.78
Te 0.0000 0.0000 0.2762 (multiplicity 3)  3 S 2.42
Te 0.0000 0.0000 0.7876 (multiplicity 3)  3 S 2.42
S 0.0026 0.6539 0.5634 (multiplicity 9)  1 Te 2.42
S 0.0125 0.3888 0.0693 (multiplicity 9)  1 Te 2.42


No. 8
## NaHoTeS (GGA-PBE)

Data for NaHoTeS after structural relaxation.

Results
Total energy   -0.3517 Ry/atom
Formation energy (no corrections)   -1493.7 meV per atom

a = 7.1611 Å, b = 4.1363 Å, c = 7.8828 Å
α = 90.00°, β = 107.48°, γ = 90.00°
With the nearest neighbours (Å) after each atom.
Space group Cm (No. 8)
One atom of each set of equivalent atoms:
Na 0.0000 0.0000 0.0000 (multiplicity 2)  3 Te 3.17-3.18, 3 S 3.18-3.20, 1 Ho 3.52
Ho 0.1574 0.0000 0.4688 (multiplicity 2)  3 S 2.77, 3 Te 3.05
Te 0.0745 0.5000 0.7218 (multiplicity 2)  3 Ho 3.05, 3 Na 3.17-3.18
S 0.2619 0.5000 0.2811 (multiplicity 2)  3 Ho 2.77


No. 9
## NaHo2ThS4 (GGA-PBE)

Data for NaHo2ThS4 after structural relaxation.

Results
N(E_F)   0.55 states/eV/atom
Total energy   -0.4513 Ry/atom
Formation energy (no corrections)   -1839.3 meV per atom

a = 6.8686 Å, b = 3.9072 Å, c = 6.8994 Å
α = 90.00°, β = 108.55°, γ = 90.00°
With the nearest neighbours (Å) after each atom.
Space group P2/m (No. 10)
One atom of each set of equivalent atoms:
Na 0.0000 0.0000 0.0000 (multiplicity 1)  6 S 2.80-2.85
Ho 0.5000 0.0000 0.5000 (multiplicity 1)  6 S 2.76-2.79
Ho 0.5000 0.5000 0.0000 (multiplicity 1)  6 S 2.74-2.75
Th 0.0000 0.5000 0.5000 (multiplicity 1)  6 S 2.84-2.86
S 0.2607 0.0000 0.7598 (multiplicity 2)  3 Ho 2.74-2.79, 1 Na 2.80, 2 Th 2.86
S 0.2615 0.5000 0.2536 (multiplicity 2)  3 Ho 2.75-2.76, 1 Th 2.84, 2 Na 2.85


No. 10
## Na3HoTh3S8 (GGA-PBE)

Data for Na3HoTh3S8 after structural relaxation.

Results
N(E_F)   0.61 states/eV/atom
Total energy   -0.4398 Ry/atom
Formation energy (no corrections)   -1729.0 meV per atom

a = 8.0868 Å, b = 8.0868 Å, c = 20.3944 Å
α = 90.00°, β = 90.00°, γ = 120.00°
With the nearest neighbours (Å) after each atom.
Space group R-3m (No. 166, hexagonal axes)
One atom of each set of equivalent atoms:
Na 0.0000 0.5000 0.0000 (multiplicity 9)  6 S 2.91-2.97
Ho 0.0000 0.0000 0.5000 (multiplicity 3)  6 S 2.75
Th 0.0000 0.5000 0.5000 (multiplicity 9)  6 S 2.82-2.86
S 0.0000 0.0000 0.2478 (multiplicity 6)  3 Th 2.86, 3 Na 2.91
S 0.0075 0.5037 0.2421 (multiplicity 18)  1 Ho 2.75, 2 Th 2.82, 2 Na 2.97